## Mg2MnP (PBE-GGA)

Data for a relaxed Mg2MnP crystal.

crystal system	orthorhombic
symmetry	No. 47
formation energy	0.004	eV per atom
density of states at the Fermi level	0.516	states/eV per atom

a = 3.489 Å, b = 3.520 Å, c = 5.426 Å
α = 90.00°, β = 90.00°, γ = 90.00°
Fractional positions:
Mg 0.000 0.000 0.244
Mg 0.000 0.000 0.756
Mn 0.500 0.500 0.500
P 0.500 0.500 0.000



## AcP12Os4 (PBE-GGA)

Data for a relaxed AcP12Os4 crystal.

crystal system	cubic
symmetry	No. 204
formation energy	-0.609	eV per atom
density of states at the Fermi level	0.395	states/eV per atom

a = 7.066 Å, b = 7.066 Å, c = 7.066 Å
α = 109.47°, β = 109.47°, γ = 109.47°
Fractional positions:
Ac 0.000 0.000 0.000
P 0.145 0.359 0.503
P 0.145 0.641 0.786
P 0.214 0.855 0.359
P 0.359 0.214 0.855
P 0.359 0.503 0.145
P 0.497 0.855 0.641
P 0.503 0.145 0.359
P 0.641 0.497 0.855
P 0.641 0.786 0.145
P 0.786 0.145 0.641
P 0.855 0.359 0.214
P 0.855 0.641 0.497
Os 0.000 0.000 0.500
Os 0.000 0.500 0.000
Os 0.500 0.000 0.000
Os 0.500 0.500 0.500



## Rb2SnGeP (PBE-GGA)

Data for a relaxed Rb2SnGeP crystal.

crystal system	tetragonal
symmetry	No. 123
formation energy	0.551	eV per atom
density of states at the Fermi level	0.912	states/eV per atom

a = 7.088 Å, b = 7.088 Å, c = 5.148 Å
α = 90.00°, β = 90.00°, γ = 90.00°
Fractional positions:
Rb 0.000 0.500 0.000
Rb 0.500 0.000 0.000
Sn 0.000 0.000 0.000
Ge 0.000 0.000 0.500
P 0.500 0.500 0.500



## Dy2H3O (PBE-GGA)

Data for a relaxed Dy2H3O crystal.

crystal system	cubic
symmetry	No. 224
E	-32.72	eV/f.u.
density of states at the Fermi level	0.264	states/eV per atom

a = 5.273 Å, b = 5.273 Å, c = 5.273 Å
α = 90.00°, β = 90.00°, γ = 90.00°
Fractional positions:
Dy 0.000 0.000 0.000
Dy 0.000 0.500 0.500
Dy 0.500 0.000 0.500
Dy 0.500 0.500 0.000
H 0.250 0.250 0.750
H 0.250 0.750 0.250
H 0.250 0.750 0.750
H 0.750 0.250 0.250
H 0.750 0.250 0.750
H 0.750 0.750 0.250
O 0.250 0.250 0.250
O 0.750 0.750 0.750



## Nd3HI7 (PBE-GGA)

Data for a relaxed Nd3HI7 crystal.

crystal system	trigonal
symmetry	No. 156
E	-41.64	eV/f.u.
density of states at the Fermi level	0.411	states/eV per atom

a = 8.628 Å, b = 8.628 Å, c = 7.704 Å
α = 90.00°, β = 90.00°, γ = 120.00°
Fractional positions:
Nd 0.017 0.508 0.000
Nd 0.492 0.508 0.000
Nd 0.492 0.983 0.000
H 0.333 0.667 0.934
I 0.164 0.328 0.249
I 0.164 0.836 0.249
I 0.331 0.165 0.761
I 0.667 0.333 0.241
I 0.672 0.836 0.249
I 0.835 0.165 0.761
I 0.835 0.669 0.761



## Y2Ga3Pd5 (PBE-GGA)

Data for a relaxed Y2Ga3Pd5 crystal.

crystal system	orthorhombic
symmetry	No. 36
ΔE to the lowest computed polymorph	0	meV per atom
formation energy	-0.820	eV per atom
density of states at the Fermi level	0.453	states/eV per atom

a = 12.664 Å, b = 12.664 Å, c = 6.782 Å
α = 90.00°, β = 90.00°, γ = 160.88°
Fractional positions:
Y 0.026 0.974 0.500
Y 0.324 0.676 0.546
Y 0.676 0.324 0.046
Y 0.974 0.026 0.000
Ga 0.126 0.874 0.728
Ga 0.283 0.717 0.096
Ga 0.457 0.543 0.691
Ga 0.543 0.457 0.191
Ga 0.717 0.283 0.596
Ga 0.874 0.126 0.228
Pd 0.097 0.903 0.125
Pd 0.196 0.804 0.366
Pd 0.227 0.773 0.794
Pd 0.382 0.618 0.956
Pd 0.442 0.558 0.317
Pd 0.558 0.442 0.817
Pd 0.618 0.382 0.456
Pd 0.773 0.227 0.294
Pd 0.804 0.196 0.866
Pd 0.903 0.097 0.625



> Look up the density of states at the Fermi level of the second one.

0.395 states/eV per atom



> What is the density of states at the Fermi level in the sixth record?

0.453 states/eV per atom



> The lowest density of states at the Fermi level belongs to which entry?

Dy2H3O



> Number 5 is which compound?

Nd3HI7